The following is a DFT calculation (PBE-GGA) of an optimized crystal structure of ZrTcB2.

Summary:
Energy = -8.440 eV/atom

a b c (Å): 5.7274 5.7274 5.7274
angles (deg): 32.84 32.84 32.84
With the nearest neighbours (Å) after each atom.
Atoms (fractional coordinates):
1 Zr 0.0000 0.0000 0.0000  6 B 2.40
2 Tc 0.5000 0.5000 0.5000  6 B 2.22
3 B 0.2407 0.2407 0.2407  3 Tc 2.22, 3 Zr 2.40
4 B 0.7593 0.7593 0.7593  3 Tc 2.22, 3 Zr 2.40

The following is a DFT calculation (PBE-GGA) of an optimized crystal structure of ZrTcB3.

Summary:
Energy = -5.776 eV/atom

a b c (Å): 4.2571 4.2571 4.2571
angles (deg): 90.00 90.00 90.00
With the nearest neighbours (Å) after each atom.
Atoms (fractional coordinates):
1 Zr 0.0000 0.0000 0.0000  6 B 2.13
2 Tc 0.5000 0.5000 0.5000  12 B 3.01
3 B 0.0000 0.0000 0.5000  2 Zr 2.13
4 B 0.0000 0.5000 0.0000  2 Zr 2.13
5 B 0.5000 0.0000 0.0000  2 Zr 2.13

| no. | polymorph energy (0 for the lowest one) (kJ per mole of atoms) | energy of formation (meV/atom) |
| --- | --- | --- |
| 1 | 0.0 | -373 |
| 2 | 260.4 | 2013 |